Below is an optimized crystal structure of MgPSeCl2, with properties calculated at the PBE level.

Unit cell a=4.4695 b=4.4695 c=9.4283 alpha=90.00 beta=90.00 gamma=90.00
With the nearest neighbours (Å) after each atom.
Element x y z (fractional)
Mg1 0.0000 0.0000 0.0000  4 Cl 2.23
P1 0.0000 0.0000 0.5000  4 Se 3.16
Se1 0.5000 0.5000 0.5000  4 P 3.16
Cl1 0.0000 0.5000 0.0000  2 Mg 2.23
Cl2 0.5000 0.0000 0.0000  2 Mg 2.23

Calculated values
Raw total energy = -2.9810 eV per atom
Energy above the lowest structure with this stoichiometry = 0.000 eV/atom
Mass density = 1.8 g/cm³
Formation energy without anion corrections = -0.14 eV per atom